# NdYMo2O8 (PBE with a Hubbard U, optimized geometry)
data_NdYMo2O8
_symmetry_space_group_name_H-M 'I -4'
_symmetry_Int_Tables_number 82
_cell_length_a 5.321
_cell_length_b 5.321
_cell_length_c 11.291
_cell_angle_alpha 90.00
_cell_angle_beta 90.00
_cell_angle_gamma 90.00
loop_
_symmetry_equiv_pos_as_xyz
'x,y,z'
'y,-x,-z'
'-x,-y,z'
'-y,x,-z'
'x+1/2,y+1/2,z+1/2'
'y+1/2,-x+1/2,-z+1/2'
'-x+1/2,-y+1/2,z+1/2'
'-y+1/2,x+1/2,-z+1/2'
loop_
_atom_site_label
_atom_site_type_symbol
_atom_site_fract_x
_atom_site_fract_y
_atom_site_fract_z
Nd1 Nd 0.000 0.000 0.000
Y1 Y 0.000 0.500 0.750
Mo1 Mo 0.000 0.000 0.500
Mo2 Mo 0.000 0.500 0.250
O1 O 0.169 0.232 0.587
O2 O 0.186 0.762 0.161
# * crystal system: tetragonal
# * calculated density: 5.75 Mg/m³
# * VASP energy: -7.85 eV/atom